VASP calculation (GGA-PBE) on TbCuGeH after structural relaxation.

Unit cell a=4.0290 b=4.0290 c=7.2099 alpha=90.00 beta=90.00 gamma=90.00
Last column: nearest neighbours and their distance in Å.
Element x y z (fractional)
1 Tb 0.5000 0.0000 0.1566  4 H 2.31
2 Tb 0.0000 0.5000 0.8434  4 H 2.31
3 Cu 0.5000 0.5000 0.5000  4 Ge 2.47
4 Cu 0.0000 0.0000 0.5000  4 Ge 2.47
5 H 0.0000 0.0000 0.0000  4 Tb 2.31
6 H 0.5000 0.5000 0.0000  4 Tb 2.31
7 Ge 0.5000 0.0000 0.6974  4 Cu 2.47
8 Ge 0.0000 0.5000 0.3026  4 Cu 2.47

space-group type = No. 129
raw total energy = -4.79 eV/atom
N(E_F) = 1.493 states/eV/f.u.
V = 117 Å³ per cell

VASP calculation (GGA-PBE) on Tb2Ni4Ge3Sb after structural relaxation.

Unit cell a=4.1773 b=4.1773 c=9.7937 alpha=90.00 beta=90.00 gamma=90.00
Last column: nearest neighbours and their distance in Å.
Element x y z (fractional)
1 Sb 0.5000 0.5000 0.5000  4 Ni 2.49
2 Tb 0.5000 0.0000 0.2333  8 Ni 3.10-3.21, 6 Ge 3.14-3.34, 2 Sb 3.34
3 Tb 0.0000 0.5000 0.7667  8 Ni 3.10-3.21, 6 Ge 3.14-3.34, 2 Sb 3.34
4 Ge 0.0000 0.5000 0.1231  5 Ni 2.34-2.41
5 Ge 0.5000 0.0000 0.8769  5 Ni 2.34-2.41
6 Ge 0.0000 0.0000 0.5000  4 Ni 2.49
7 Ni 0.0000 0.5000 0.3621  3 Ge 2.34-2.49, 2 Sb 2.49
8 Ni 0.0000 0.0000 0.0000  4 Ge 2.41
9 Ni 0.5000 0.5000 0.0000  4 Ge 2.41
10 Ni 0.5000 0.0000 0.6379  3 Ge 2.34-2.49, 2 Sb 2.49

formation energy without anion corrections = -61.4 kJ/mol of atoms
space-group type = No. 115
N(E_F) = 5.910 states/eV/f.u.
V = 171 Å³ per cell

VASP calculation (GGA-PBE) on VFeCo3 after structural relaxation.

Unit cell a=4.1626 b=4.1626 c=4.1626 alpha=90.00 beta=90.00 gamma=90.00
Last column: nearest neighbours and their distance in Å.
Element x y z (fractional)
1 V 0.0000 0.0000 0.0000  6 Co 2.08
2 Co 0.0000 0.5000 0.0000  2 V 2.08
3 Co 0.0000 0.0000 0.5000  2 V 2.08
4 Co 0.5000 0.0000 0.0000  2 V 2.08
5 Fe 0.5000 0.5000 0.5000  12 Co 2.94

ΔE to the lowest computed polymorph = 1110 meV per atom
space-group type = No. 221
N(E_F) = 7.173 states/eV/f.u.
V = 72 Å³ per cell
ΔH_f (0 K) = 1.159 eV per atom

VASP calculation (GGA-PBE) on PIrSe2 after structural relaxation.

Unit cell a=7.4506 b=7.4506 c=7.4506 alpha=27.58 beta=27.58 gamma=27.58
Last column: nearest neighbours and their distance in Å.
Element x y z (fractional)
1 Se 0.7603 0.7603 0.7603  3 Ir 2.71, 3 Se 2.77
2 Se 0.0070 0.0070 0.0070  3 Se 2.77
3 P 0.2235 0.2235 0.2235  3 Ir 2.29
4 Ir 0.5092 0.5092 0.5092  3 P 2.29

formation energy without anion corrections = 6.1 kJ/mol of atoms
space-group type = No. 160
N(E_F) = 2.105 states/eV/f.u.
V = 78 Å³ per cell

> Which value of N(E_F) does entry 2 give?

5.910 states/eV/f.u.

> Which of these has the lowest N(E_F)?

TbCuGeH

> Which value of N(E_F) does entry 1 give?

1.493 states/eV/f.u.

> Among the records above, which one has the highest N(E_F)?

VFeCo3